DFT (PBE+U) results for an optimized crystal structure of Tl2Cr2WO6.

raw total energy = -6.7047 eV/atom
V = 179 Å³/f.u.
symmetry = C2/m

The structure in CIF format:
```
data_Tl2Cr2WO6
_chemical_formula_sum 'Tl2 Cr2 W1 O6'
_cell_length_a 5.270
_cell_length_b 5.270
_cell_length_c 7.560
_cell_angle_alpha 97.16
_cell_angle_beta 97.16
_cell_angle_gamma 118.37
_symmetry_space_group_name_H-M 'P 1'
_symmetry_Int_Tables_number 1
_symmetry_space_group_name_Hall 'P 1'
loop_
_atom_site_label
_atom_site_type_symbol
_atom_site_fract_x
_atom_site_fract_y
_atom_site_fract_z
Tl1 Tl 0.174 0.826 0.000
Tl2 Tl 0.826 0.174 0.000
Cr1 Cr 0.167 0.833 0.500
Cr2 Cr 0.833 0.167 0.500
W1 W 0.500 0.500 0.500
O1 O 0.123 0.123 0.363
O2 O 0.215 0.542 0.639
O3 O 0.458 0.785 0.361
O4 O 0.542 0.215 0.639
O5 O 0.785 0.458 0.361
O6 O 0.877 0.877 0.637
```